Density functional theory data (PBE) for a relaxed structure of ErTh3N4.

For the energy relative to the lowest polymorph listed for this composition, the calculation gives 0 meV per atom. The value obtained for the total DFT energy (no corrections) is -145.8 eV for the cell shown. For the total magnetization, the calculation gives 0.0 μB/cell. For the density of states at the Fermi level, the calculation gives 5.981 states/eV/cell. The calculation puts the formation energy without anion corrections at -1.59 eV/atom.

It has space group P2/c (No. 13), with a = 6.251 Å, b = 7.217 Å, c = 6.240 Å, α = 90.00°, β = 109.38° and γ = 90.00°. The inequivalent atoms are Er at (0.000, 0.123, 0.250), Th at (0.000, 0.372, 0.750), Th at (0.500, 0.123, 0.750), Th at (0.500, 0.374, 0.250), N at (0.242, 0.120, 0.000) and N at (0.243, 0.368, 0.493).

=====

Density functional theory data (PBE) for a relaxed structure of ScReAu2.

The energy relative to the elements is 4.82 kJ/mol of atoms. For the energy relative to the lowest polymorph listed for this composition, the calculation gives 104 meV per atom. The value obtained for the total DFT energy (no corrections) is -50.3 eV for the cell shown. For the total magnetization, the calculation gives 3.1 μB/cell. For the density of states at the Fermi level, the calculation gives 7.882 states/eV/cell.

It has space group I-4m2 (No. 119), with a = 4.073 Å, b = 4.073 Å, c = 8.474 Å, α = 90.00°, β = 90.00° and γ = 90.00°. The inequivalent atoms are Sc at (0.000, 0.000, 0.000), Re at (0.000, 0.500, 0.250), Au at (0.000, 0.000, 0.500) and Au at (0.000, 0.500, 0.750).